Record 1
## TbGa3Pd2 (PBE)

Data for an optimized crystal structure of TbGa3Pd2.

Cell and atoms, written as POSCAR:
```
TbGa3Pd2
1.0
4.137 0.000 -1.216
-1.028 6.633 -3.497
0.126 -0.041 8.074
Ga Tb Pd
6 2 4
Direct
0.324 0.530 0.647
0.676 0.883 0.353
0.676 0.470 0.353
0.000 0.661 0.000
0.324 0.117 0.647
0.000 0.339 0.000
0.868 0.868 0.737
0.132 0.132 0.263
0.193 0.693 0.385
0.500 0.179 0.000
0.500 0.821 0.000
0.807 0.307 0.615
```

Output
The volume comes out at 18.49 A^3/atom. The magnetic moment comes out at 0.0 μB/cell. For the formation energy, the calculation gives -679 meV/atom. The space group is No. 71. Its density of states at the Fermi level is 1.6 states/eV/f.u.



Record 2
## TbGa2Pd8 (PBE)

Data for an optimized crystal structure of TbGa2Pd8.

Cell and atoms, written as POSCAR:
```
TbGa2Pd8
1.0
4.645 -0.185 -0.278
-1.042 6.730 -0.193
-1.042 -2.771 6.137
Ga Pd Tb
2 8 1
Direct
0.000 0.313 0.687
0.000 0.687 0.313
0.312 0.600 0.600
0.688 0.400 0.400
0.106 0.080 0.324
0.500 0.760 0.240
0.500 0.240 0.760
0.106 0.324 0.080
0.894 0.676 0.920
0.894 0.920 0.676
0.500 0.000 0.000
```

Output
The volume comes out at 16.85 A^3/atom. The magnetic moment comes out at 0.0 μB/cell. For the formation energy, the calculation gives -542 meV/atom. The space group is No. 12. Its density of states at the Fermi level is 3.7 states/eV/f.u.